# Ce5FeGe2

A relaxed Ce5FeGe2 crystal (PBE-GGA, Alexandria).

The volume comes out at 381 Å³/cell. As for the formation energy: -0.29 eV/atom.

The space group is I4mm (No. 107) and the conventional cell measures 6.9720, 6.9720 and 7.8406 Å, with angles of 90.00, 90.00 and 90.00 degrees. Symmetry generates all atoms from Ce at (0.0000, 0.0000, 0.0000), Ce at (0.2480, 0.2480, 0.1905), Fe at (0.0000, 0.0000, 0.6223) and Ge at (0.0000, 0.5000, 0.4463).